DFT (PBE+U) results for a relaxed AcBeWO6 crystal.

a b c (Å): 5.0681 5.0681 10.7087
angles (deg): 90.00 90.00 120.00
Closest atoms and distances in Å follow each position.
Fractional positions:
Ac: 0.0000 0.0000 0.0000  6 O 2.52
Ac: 0.0000 0.0000 0.5000  6 O 2.52
Be: 0.3333 0.6667 0.2500  6 O 1.88
Be: 0.6667 0.3333 0.7500  6 O 1.88
W: 0.3333 0.6667 0.7500  6 O 1.94
W: 0.6667 0.3333 0.2500  6 O 1.94
O: 0.0093 0.3903 0.1485  1 Be 1.88, 1 W 1.94
O: 0.0093 0.6189 0.3515  1 Be 1.88, 1 W 1.94
O: 0.3811 0.3903 0.3515  1 Be 1.88, 1 W 1.94
O: 0.3811 0.9907 0.1485  1 Be 1.88, 1 W 1.94
O: 0.3903 0.0093 0.6485  1 Be 1.88, 1 W 1.94
O: 0.3903 0.3811 0.8515  1 Be 1.88, 1 W 1.94
O: 0.6097 0.6189 0.1485  1 Be 1.88, 1 W 1.94
O: 0.6097 0.9907 0.3515  1 Be 1.88, 1 W 1.94
O: 0.6189 0.0093 0.8515  1 Be 1.88, 1 W 1.94
O: 0.6189 0.6097 0.6485  1 Be 1.88, 1 W 1.94
O: 0.9907 0.3811 0.6485  1 Be 1.88, 1 W 1.94
O: 0.9907 0.6097 0.8515  1 Be 1.88, 1 W 1.94

Computed properties:
Final energy (eV/atom): -7.2520
Magnetic moment (Bohr magnetons per cell): 2.1
Space-group type: P-31c (163)
Volume (Å³ per cell): 238.2
Calculated density (g cm⁻³): 7.2